No. 1
4
Lattice="6.454 0.011 0.000 3.288 5.554 0.000 -4.871 -2.782 3.192" Properties=species:S:1:pos:R:3 comment="LaMg2Sb, optimized geometry, DFT PBE" crystal_system=tetragonal e_tot_ev_per_atom=-3.470 total_magnetization_mub_per_fu=0.0 pbc="T T T"
La 3.227 0.005 1.596
Mg 0.000 0.000 0.000
Mg 4.871 2.782 0.000
Sb 1.644 2.777 1.596

No. 2
14
Lattice="-2.727 1.940 -4.059 -2.497 -3.799 -2.646 -9.693 -0.252 0.553" Properties=species:S:1:pos:R:3 comment="TiBeRh5, optimized geometry, DFT PBE" crystal_system=monoclinic e_form_ev_per_atom=-0.16 total_magnetization_mub_per_fu=0.0 pbc="T T T"
Rh -6.175 -2.158 -4.629
Rh -3.837 -1.280 -1.442
Rh -8.333 -0.824 -4.096
Rh -4.941 -3.346 -2.635
Rh -9.976 1.234 -3.517
Rh -11.469 -0.438 -2.019
Rh -11.079 -0.832 -4.710
Rh -8.742 0.046 -1.523
Rh -6.583 -1.287 -2.056
Rh -3.448 -1.673 -4.133
Ti -5.076 0.030 -3.466
Ti -9.841 -2.141 -2.686
Be -4.847 -0.126 0.277
Be 0.000 0.000 0.000